The following is a GGA-PBE calculation of FeAg3Cl6 after structural relaxation, from the Alexandria database.

POSCAR file:
```
FeAg3Cl6
1.0
5.399 -6.511 0.000
5.399 6.511 0.000
0.000 0.000 7.440
Fe Ag Cl
2 6 12
Direct
0.178 0.822 0.500
0.822 0.178 0.000
0.108 0.307 0.403
0.307 0.108 0.903
0.442 0.558 0.887
0.558 0.442 0.387
0.693 0.892 0.403
0.892 0.693 0.903
0.005 0.995 0.507
0.059 0.606 0.356
0.230 0.770 0.790
0.326 0.340 0.141
0.340 0.326 0.641
0.394 0.941 0.356
0.606 0.059 0.856
0.660 0.674 0.141
0.674 0.660 0.641
0.770 0.230 0.290
0.941 0.394 0.856
0.995 0.005 0.007
```

Crystal system: orthorhombic
Calculated total energy (eV/atom): -3.36
Density of states at the Fermi level (states/eV per cell): 4.83
Size of the total moment (μB/atom): 0.4978


The following is a GGA-PBE calculation of FeAg2Cl after structural relaxation, from the Alexandria database.

POSCAR file:
```
FeAg2Cl
1.0
-2.011 2.011 4.449
2.011 -2.011 4.449
2.011 2.011 -4.449
Fe Ag Cl
1 2 1
Direct
0.000 0.000 0.000
0.250 0.750 0.500
0.500 0.500 0.000
0.750 0.250 0.500
```

Crystal system: tetragonal
Calculated total energy (eV/atom): -3.49
Density of states at the Fermi level (states/eV per cell): 2.61
Size of the total moment (μB/atom): 0.7722
Energy above the lowest structure with this stoichiometry (eV per atom): 0.4443


The following is a GGA-PBE calculation of FeAg5Cl12 after structural relaxation, from the Alexandria database.

POSCAR file:
```
FeAg5Cl12
1.0
3.212 -5.971 0.000
3.212 5.971 0.000
-0.604 0.000 12.615
Fe Ag Cl
1 5 12
Direct
0.000 0.000 0.000
0.167 0.833 0.500
0.338 0.662 0.000
0.500 0.500 0.500
0.662 0.338 0.000
0.833 0.167 0.500
0.032 0.326 0.106
0.150 0.483 0.615
0.184 0.184 0.386
0.271 0.271 0.883
0.326 0.032 0.106
0.483 0.150 0.615
0.517 0.850 0.385
0.674 0.968 0.894
0.729 0.729 0.117
0.816 0.816 0.614
0.850 0.517 0.385
0.968 0.674 0.894
```

Crystal system: monoclinic
Calculated total energy (eV/atom): -2.88
Density of states at the Fermi level (states/eV per cell): 16.34
Size of the total moment (μB/atom): 0.4580


Question: What is the calculated total energy in the second record?
Answer: -3.49 eV/atom


Question: Which value of size of the total moment does entry 3 give?
Answer: 0.4580 μB/atom


Question: Number 3 is which compound?
Answer: FeAg5Cl12